Np2TcGe: optimized geometry, PBE-GGA.

Cell lengths 2.9691, 2.9691, 29.4746 Å; angles 90.00, 90.00, 120.00 degrees
Closest atoms and distances in Å follow each position.
Space group R-3m (No. 166, hexagonal axes)
One atom of each set of equivalent atoms:
1 Np 0.0000 0.0000 0.2448 (multiplicity 6)  3 Tc 2.87, 6 Np 2.97, 3 Ge 3.12
2 Tc 0.0000 0.0000 0.5000 (multiplicity 3)  6 Np 2.87, 6 Tc 2.97
3 Ge 0.0000 0.0000 0.0000 (multiplicity 3)  6 Ge 2.97, 6 Np 3.12

Calculated values
Density   14.3 g cm⁻³
Excess energy over the best structure of this formula in the dataset   260 meV per atom

Dy3AlHg: optimized geometry, PBE-GGA.

Cell lengths 5.0941, 20.4294, 5.0993 Å; angles 90.00, 90.00, 90.00 degrees
Closest atoms and distances in Å follow each position.
Space group Cmcm (No. 63)
One atom of each set of equivalent atoms:
1 Dy 0.0000 0.0613 0.2500 (multiplicity 4)  2 Hg 3.20, 2 Al 3.21, 2 Dy 3.57
2 Dy 0.0000 0.2491 0.2500 (multiplicity 4)  4 Hg 3.17-3.20, 4 Al 3.18-3.19
3 Dy 0.0000 0.4356 0.2500 (multiplicity 4)  2 Al 3.17, 2 Hg 3.17
4 Al 0.0000 0.1565 0.7500 (multiplicity 4)  8 Dy 3.17-3.21
5 Hg 0.0000 0.3435 0.7500 (multiplicity 4)  8 Dy 3.17-3.20

Calculated values
Density   9.0 g cm⁻³
Excess energy over the best structure of this formula in the dataset   0 meV per atom

ScNi2Br: optimized geometry, PBE-GGA.

Cell lengths 3.2850, 3.2850, 7.2282 Å; angles 90.00, 90.00, 90.00 degrees
Closest atoms and distances in Å follow each position.
Space group P4mm (No. 99)
One atom of each set of equivalent atoms:
1 Sc 0.0000 0.0000 0.0000 (multiplicity 1)  1 Ni 2.30
2 Ni 0.0000 0.0000 0.6815 (multiplicity 1)  1 Sc 2.30, 4 Ni 2.42
3 Ni 0.5000 0.5000 0.7759 (multiplicity 1)  4 Ni 2.42
4 Br 0.5000 0.5000 0.2332 (multiplicity 1)  4 Sc 2.87

Calculated values
Formation energy without anion corrections   -0.271 eV per atom
Density   5.2 g cm⁻³
Excess energy over the best structure of this formula in the dataset   112 meV per atom

TaHgRh2: optimized geometry, PBE-GGA.

Cell lengths 5.9548, 7.3899, 2.9981 Å; angles 90.00, 90.00, 90.00 degrees
Closest atoms and distances in Å follow each position.
Space group Cmmm (No. 65)
One atom of each set of equivalent atoms:
1 Ta 0.0000 0.0000 0.0000 (multiplicity 2)  8 Rh 2.81, 2 Hg 2.98, 2 Ta 3.00
2 Hg 0.0000 0.5000 0.0000 (multiplicity 2)  8 Rh 2.81, 2 Ta 2.98, 2 Hg 3.00
3 Rh 0.2500 0.2500 0.5000 (multiplicity 4)  4 Hg 2.81, 4 Ta 2.81, 4 Rh 2.98-3.00

Calculated values
Density   14.8 g cm⁻³
Raw total energy   -6.82 eV per atom

Li7SmTl4: optimized geometry, PBE-GGA.

Cell lengths 11.2210, 5.2757, 10.3194 Å; angles 90.00, 121.92, 90.00 degrees
Closest atoms and distances in Å follow each position.
Space group C2/m (No. 12)
One atom of each set of equivalent atoms:
1 Li 0.0000 0.0000 0.0000 (multiplicity 2)  2 Sm 2.64, 2 Li 2.67, 2 Tl 2.79
2 Li 0.0960 0.5000 0.4361 (multiplicity 4)  4 Tl 2.83-2.97, 4 Li 3.02-3.10
3 Li 0.1657 0.0000 0.6206 (multiplicity 4)  2 Li 2.76-3.02, 1 Tl 2.88
4 Li 0.1682 0.0000 0.8893 (multiplicity 4)  2 Li 2.67-2.76, 4 Tl 2.70-2.84
5 Sm 0.0000 0.5000 0.0000 (multiplicity 2)  2 Li 2.64
6 Tl 0.1123 0.0000 0.3148 (multiplicity 4)  6 Li 2.71-2.97
7 Tl 0.1895 0.5000 0.8023 (multiplicity 4)  5 Li 2.70-2.96

Calculated values
Density   6.5 g cm⁻³
Raw total energy   -2.38 eV per atom

NaI3Cl: optimized geometry, PBE-GGA.

Cell lengths 6.0013, 6.0013, 6.0013 Å; angles 90.00, 90.00, 90.00 degrees
Closest atoms and distances in Å follow each position.
Space group Pm-3m (No. 221)
One atom of each set of equivalent atoms:
1 Na 0.0000 0.0000 0.0000 (multiplicity 1)  6 I 3.00
2 I 0.0000 0.0000 0.5000 (multiplicity 3)  2 Na 3.00
3 Cl 0.5000 0.5000 0.5000 (multiplicity 1)  12 I 4.24

Calculated values
Formation energy without anion corrections   0.068 eV per atom
Density   3.4 g cm⁻³
Excess energy over the best structure of this formula in the dataset   241 meV per atom

Li9Ca3Sn2: optimized geometry, PBE-GGA.

Cell lengths 4.7504, 10.0851, 13.9783 Å; angles 90.00, 90.00, 90.00 degrees
Closest atoms and distances in Å follow each position.
Space group Immm (No. 71)
One atom of each set of equivalent atoms:
1 Li 0.0000 0.0000 0.0000 (multiplicity 2)  4 Li 2.77
2 Li 0.0000 0.1487 0.3162 (multiplicity 8)  1 Sn 2.81, 4 Li 2.87-3.00
3 Li 0.0000 0.2261 0.1119 (multiplicity 8)  4 Li 2.77-2.96, 2 Sn 2.85
4 Ca 0.0000 0.5000 0.0000 (multiplicity 2)  4 Li 3.17, 4 Sn 3.55
5 Ca 0.0000 0.5000 0.3326 (multiplicity 4)  12 Li 3.33-3.55, 2 Sn 3.36
6 Sn 0.0000 0.2613 0.5000 (multiplicity 4)  6 Li 2.81-2.85

Calculated values
Density   2.1 g cm⁻³
Raw total energy   -2.45 eV per atom

LiPrYMn: optimized geometry, PBE-GGA.

Cell lengths 7.3040, 7.3040, 7.3040 Å; angles 90.00, 90.00, 90.00 degrees
Closest atoms and distances in Å follow each position.
Space group F-43m (No. 216)
One atom of each set of equivalent atoms:
1 Li 0.0000 0.0000 0.0000 (multiplicity 4)  4 Pr 3.16, 4 Y 3.16
2 Pr 0.2500 0.2500 0.7500 (multiplicity 4)  4 Mn 3.16, 4 Li 3.16
3 Y 0.2500 0.2500 0.2500 (multiplicity 4)  4 Mn 3.16, 4 Li 3.16
4 Mn 0.0000 0.0000 0.5000 (multiplicity 4)  4 Pr 3.16, 4 Y 3.16

Calculated values
Density   5.0 g cm⁻³
Raw total energy   -5.43 eV per atom

CaAcSiH: optimized geometry, PBE-GGA.

Cell lengths 7.2731, 7.2731, 7.2731 Å; angles 90.00, 90.00, 90.00 degrees
Closest atoms and distances in Å follow each position.
Space group F-43m (No. 216)
One atom of each set of equivalent atoms:
1 Ca 0.0000 0.0000 0.0000 (multiplicity 4)  4 Si 3.15, 4 H 3.15
2 Ac 0.0000 0.0000 0.5000 (multiplicity 4)  4 H 3.15, 4 Si 3.15
3 Si 0.2500 0.2500 0.2500 (multiplicity 4)  4 Ac 3.15, 4 Ca 3.15
4 H 0.2500 0.2500 0.7500 (multiplicity 4)  4 Ac 3.15, 4 Ca 3.15

Calculated values
Density   5.1 g cm⁻³
Raw total energy   -4.05 eV per atom

Ho2ScAl: optimized geometry, PBE-GGA.

Cell lengths 5.1835, 6.6275, 11.5420 Å; angles 90.00, 90.00, 90.00 degrees
Closest atoms and distances in Å follow each position.
Space group Amm2 (No. 38)
One atom of each set of equivalent atoms:
1 Ho 0.0000 0.0000 0.0000 (multiplicity 2)  4 Al 3.19-3.32, 4 Ho 3.21-3.44, 4 Sc 3.28
2 Ho 0.0000 0.2378 0.2427 (multiplicity 4)  6 Ho 3.15-3.48, 4 Al 3.18-3.39, 2 Sc 3.25
3 Ho 0.5000 0.0000 0.6511 (multiplicity 2)  4 Sc 3.16-3.49, 4 Al 3.19-3.32, 4 Ho 3.29
4 Sc 0.5000 0.2364 0.4129 (multiplicity 4)  2 Sc 3.13-3.49, 4 Al 3.16-3.35, 6 Ho 3.16-3.49
5 Al 0.0000 0.0000 0.4904 (multiplicity 2)  4 Sc 3.16, 8 Ho 3.19-3.39
6 Al 0.5000 0.0000 0.1610 (multiplicity 2)  8 Ho 3.18-3.32, 4 Sc 3.30-3.35

Calculated values
Density   6.7 g cm⁻³
Excess energy over the best structure of this formula in the dataset   0 meV per atom

Pm3Ni7Au2: optimized geometry, PBE-GGA.

Cell lengths 5.1951, 5.1951, 25.2935 Å; angles 90.00, 90.00, 120.00 degrees
Closest atoms and distances in Å follow each position.
Space group R-3m (No. 166, hexagonal axes)
One atom of each set of equivalent atoms:
1 Pm 0.0000 0.0000 0.0000 (multiplicity 3)  6 Au 3.00
2 Pm 0.0000 0.0000 0.1396 (multiplicity 6)  12 Ni 2.91-3.08
3 Ni 0.0000 0.0000 0.5000 (multiplicity 3)  6 Ni 2.51
4 Ni 0.0006 0.5003 0.9127 (multiplicity 18)  5 Ni 2.51-2.60, 2 Au 2.67
5 Au 0.0000 0.0000 0.3333 (multiplicity 6)  6 Ni 2.67

Calculated values
Density   10.4 g cm⁻³
Raw total energy   -5.49 eV per atom

Zr2GaIr: optimized geometry, PBE-GGA.

Cell lengths 4.3931, 4.3931, 14.4040 Å; angles 90.00, 90.00, 120.00 degrees
Closest atoms and distances in Å follow each position.
Space group R3m (No. 160, hexagonal axes)
One atom of each set of equivalent atoms:
1 Zr 0.0000 0.0000 0.0000 (multiplicity 3)  3 Ir 2.77, 1 Zr 2.92, 3 Ga 3.03
2 Zr 0.0000 0.0000 0.2025 (multiplicity 3)  3 Ga 2.83, 4 Zr 2.92-3.16, 4 Ir 2.99-3.12
3 Ga 0.0000 0.0000 0.7822 (multiplicity 3)  3 Ir 2.60, 3 Zr 2.83
4 Ir 0.0000 0.0000 0.4101 (multiplicity 3)  3 Ga 2.60, 3 Zr 2.77

Calculated values
Density   9.2 g cm⁻³
Raw total energy   -7.73 eV per atom

PaTaFe2: optimized geometry, PBE-GGA.

Cell lengths 4.0889, 4.0889, 13.9865 Å; angles 90.00, 90.00, 120.00 degrees
Closest atoms and distances in Å follow each position.
Space group R-3m (No. 166, hexagonal axes)
One atom of each set of equivalent atoms:
1 Pa 0.0000 0.0000 0.0000 (multiplicity 3)  8 Fe 2.82-3.13
2 Ta 0.0000 0.0000 0.5000 (multiplicity 3)  6 Fe 2.49
3 Fe 0.0000 0.0000 0.2236 (multiplicity 6)  3 Ta 2.49

Calculated values
Density   12.9 g cm⁻³
Excess energy over the best structure of this formula in the dataset   133 meV per atom

Ho4AlZnAg2: optimized geometry, PBE-GGA.

Cell lengths 5.1037, 5.1037, 24.9617 Å; angles 90.00, 90.00, 120.00 degrees
Closest atoms and distances in Å follow each position.
Space group R-3m (No. 166, hexagonal axes)
One atom of each set of equivalent atoms:
1 Ho 0.0000 0.0000 0.1233 (multiplicity 6)  1 Zn 3.08, 4 Ag 3.10-3.11, 3 Al 3.14
2 Ho 0.0000 0.0000 0.3734 (multiplicity 6)  3 Zn 3.11, 4 Ag 3.13-3.16, 1 Al 3.16
3 Al 0.0000 0.0000 0.5000 (multiplicity 3)  8 Ho 3.14-3.16
4 Zn 0.0000 0.0000 0.0000 (multiplicity 3)  8 Ho 3.08-3.11
5 Ag 0.0000 0.0000 0.2479 (multiplicity 6)  8 Ho 3.10-3.16

Calculated values
Density   8.6 g cm⁻³
Raw total energy   -3.96 eV per atom

TcGeAsBr2: optimized geometry, PBE-GGA.

Cell lengths 5.1649, 5.1649, 4.7931 Å; angles 90.00, 90.00, 90.00 degrees
Closest atoms and distances in Å follow each position.
Space group P4/mmm (No. 123)
One atom of each set of equivalent atoms:
1 Tc 0.0000 0.0000 0.0000 (multiplicity 1)  2 As 2.40, 4 Br 2.58
2 Ge 0.5000 0.5000 0.5000 (multiplicity 1)  8 Br 3.52, 4 As 3.65
3 As 0.0000 0.0000 0.5000 (multiplicity 1)  2 Tc 2.40
4 Br 0.0000 0.5000 0.0000 (multiplicity 2)  2 Tc 2.58

Calculated values
Formation energy without anion corrections   0.549 eV per atom
Density   5.3 g cm⁻³
Excess energy over the best structure of this formula in the dataset   0 meV per atom

Mg4MnNi: optimized geometry, PBE-GGA.

Cell lengths 7.7376, 7.7376, 7.7376 Å; angles 90.00, 90.00, 90.00 degrees
Closest atoms and distances in Å follow each position.
Space group F-43m (No. 216)
One atom of each set of equivalent atoms:
1 Mg 0.1253 0.1253 0.1253 (multiplicity 16)  6 Mg 2.73-2.74
2 Mn 0.2500 0.2500 0.7500 (multiplicity 4)  12 Mg 3.21, 4 Ni 3.35
3 Ni 0.0000 0.0000 0.5000 (multiplicity 4)  12 Mg 3.21, 4 Mn 3.35

Calculated values
Density   3.0 g cm⁻³
Raw total energy   -3.09 eV per atom

SmHo2TmTl2: optimized geometry, PBE-GGA.

Cell lengths 5.0919, 9.9459, 6.8436 Å; angles 90.00, 90.00, 90.00 degrees
Closest atoms and distances in Å follow each position.
Space group Pmc2_1 (No. 26)
One atom of each set of equivalent atoms:
1 Sm 0.0000 0.0440 0.0000 (multiplicity 2)  5 Tl 3.24-3.50, 2 Tm 3.52, 2 Sm 3.53
2 Ho 0.0000 0.3164 0.3796 (multiplicity 2)  4 Tl 3.17-3.23, 2 Ho 3.50
3 Ho 0.5000 0.4546 0.0929 (multiplicity 2)  5 Tl 3.21-3.53, 4 Ho 3.50-3.54
4 Tm 0.5000 0.1920 0.7172 (multiplicity 2)  4 Tl 3.17-3.25, 2 Sm 3.52
5 Tl 0.0000 0.3663 0.8380 (multiplicity 2)  6 Ho 3.17-3.53, 2 Tm 3.19, 1 Sm 3.39
6 Tl 0.5000 0.1337 0.2618 (multiplicity 2)  2 Tm 3.17-3.25, 3 Ho 3.23-3.39, 4 Sm 3.24-3.50

Calculated values
Density   10.1 g cm⁻³
Raw total energy   -4.11 eV per atom

GdMgScRu: optimized geometry, PBE-GGA.

Cell lengths 6.9352, 6.9352, 6.9352 Å; angles 90.00, 90.00, 90.00 degrees
Closest atoms and distances in Å follow each position.
Space group F-43m (No. 216)
One atom of each set of equivalent atoms:
1 Gd 0.0000 0.0000 0.0000 (multiplicity 4)  4 Mg 3.00, 4 Ru 3.00
2 Mg 0.2500 0.2500 0.7500 (multiplicity 4)  4 Sc 3.00, 4 Gd 3.00
3 Sc 0.0000 0.0000 0.5000 (multiplicity 4)  4 Ru 3.00, 4 Mg 3.00
4 Ru 0.2500 0.2500 0.2500 (multiplicity 4)  4 Gd 3.00, 4 Sc 3.00

Calculated values
Density   6.5 g cm⁻³
Raw total energy   -8.02 eV per atom

RbTlHg2F6: optimized geometry, PBE-GGA.

Cell lengths 12.0009, 9.2643, 6.5490 Å; angles 90.00, 91.36, 90.00 degrees
Closest atoms and distances in Å follow each position.
Space group C2/c (No. 15)
One atom of each set of equivalent atoms:
1 Rb 0.0000 0.1711 0.2500 (multiplicity 4)  8 F 2.83-3.06
2 Tl 0.0000 0.3441 0.7500 (multiplicity 4)  4 F 2.60-2.82
3 Hg 0.2472 0.0607 0.8667 (multiplicity 8)  7 F 2.32-2.55
4 F 0.1156 0.4447 0.4088 (multiplicity 8)  2 Hg 2.43-2.47, 1 Tl 2.60
5 F 0.1222 0.0634 0.5914 (multiplicity 8)  2 Hg 2.32-2.42
6 F 0.2471 0.1836 0.1887 (multiplicity 8)  3 Hg 2.40-2.55

Calculated values
Formation energy without anion corrections   -1.745 eV per atom
Density   7.3 g cm⁻³

Al2VZn: optimized geometry, PBE-GGA.

Cell lengths 4.0512, 4.0512, 14.6366 Å; angles 90.00, 90.00, 120.00 degrees
Closest atoms and distances in Å follow each position.
Space group R3m (No. 160, hexagonal axes)
One atom of each set of equivalent atoms:
1 Al 0.0000 0.0000 0.0000 (multiplicity 3)  3 V 2.52, 3 Zn 2.64, 1 Al 2.72
2 Al 0.0000 0.0000 0.1856 (multiplicity 3)  3 V 2.64, 1 Al 2.72, 3 Zn 2.78
3 V 0.0000 0.0000 0.6028 (multiplicity 3)  6 Al 2.52-2.64, 1 Zn 2.73
4 Zn 0.0000 0.0000 0.4164 (multiplicity 3)  6 Al 2.64-2.78, 1 V 2.73

Calculated values
Density   4.1 g cm⁻³
Raw total energy   -4.14 eV per atom

| no. | spin magnetization (μB per formula unit) |
| --- | --- |
| 1 | 5.2 |
| 2 | 0.0 |
| 3 | 0.0 |
| 4 | 0.0 |
| 5 | 0.0 |
| 6 | 3.0 |
| 7 | 0.0 |
| 8 | 2.6 |
| 9 | 0.0 |
| 10 | 0.0 |
| 11 | 0.0 |
| 12 | 0.0 |
| 13 | 0.0 |
| 14 | 0.0 |
| 15 | 1.8 |
| 16 | 4.8 |
| 17 | 0.0 |
| 18 | 7.2 |
| 19 | 0.0 |
| 20 | 1.0 |